# Pr2Ge3Pd2 PBE optimized geometry
data_Pr2Ge3Pd2
_chemical_formula_sum 'Pr4 Ge6 Pd4'
_space_group_name_H-M_alt 'C 1 2/m 1'
_space_group_IT_number 12
_space_group_name_Hall '-C 2y'
_cell_length_a 10.372
_cell_length_b 4.422
_cell_length_c 6.765
_cell_angle_alpha 90.00
_cell_angle_beta 108.41
_cell_angle_gamma 90.00
loop_
_atom_site_label
_atom_site_type_symbol
_atom_site_fract_x
_atom_site_fract_y
_atom_site_fract_z
_atom_site_occupancy
Pr1 Pr 0.153 0.000 0.283 1
Ge1 Ge 0.000 0.500 0.500 1
Ge2 Ge 0.106 0.500 0.940 1
Pd1 Pd 0.146 0.000 0.770 1
# ΔE to the lowest computed polymorph: 3.16 kcal/mol of atoms
# Total magnetic moment: 0.000 Bohr magnetons per cell
# Formation energy from the elements: -0.7130 eV/atom